# CoSb2O4 (PBE+U, relaxed)
# Energy above the lowest structure with this stoichiometry   361 meV per atom
data_CoSb2O4
_chemical_formula_sum 'Co2 Sb4 O8'
_cell_length_a 6.6100
_cell_length_b 6.6100
_cell_length_c 6.6100
_cell_angle_alpha 119.99
_cell_angle_beta 90.01
_cell_angle_gamma 119.99
_symmetry_space_group_name_H-M 'P 1'
_symmetry_Int_Tables_number 1
loop_
_symmetry_equiv_pos_as_xyz
'x,y,z'
loop_
_atom_site_label
_atom_site_fract_x
_atom_site_fract_y
_atom_site_fract_z
_atom_site_occupancy
Sb1 0.8750 0.2500 0.6250 1
Sb2 0.3750 0.7500 0.6250 1
O1 0.1251 0.7498 0.8748 1
O2 0.6249 0.2498 0.8747 1
Sb3 0.3750 0.7500 0.1250 1
O3 0.1251 0.2502 0.3753 1
O4 0.6249 0.7502 0.3752 1
O5 0.6248 0.2498 0.3751 1
Co1 0.7500 0.5000 0.2500 1
Sb4 0.3750 0.2500 0.6250 1
O6 0.6247 0.7498 0.8749 1
O7 0.1252 0.2502 0.8749 1
Co2 0.0000 0.0000 0.0000 1
O8 0.1253 0.7502 0.3751 1